one) Below is BMoW after structural relaxation, with properties calculated at the PBE level.

a = 5.573 Å, b = 4.629 Å, c = 4.597 Å
α = 74.32°, β = 53.10°, γ = 52.58°
Positions (direct):
1 B 0.750 0.750 0.750
2 B 0.250 0.250 0.250
3 Mo 0.330 0.670 0.330
4 Mo 0.670 0.330 0.670
5 W 0.169 0.169 0.831
6 W 0.831 0.831 0.169

Calculated values
V   74.5 Å³/cell

***

two) Below is BMoW after structural relaxation, with properties calculated at the PBE level.

a = 3.226 Å, b = 4.604 Å, c = 6.330 Å
α = 84.88°, β = 75.24°, γ = 69.49°
Positions (direct):
1 B 0.750 0.500 0.500
2 B 0.250 0.500 0.500
3 W 0.862 0.276 0.000
4 W 0.138 0.724 0.000
5 Mo 0.661 0.000 0.678
6 Mo 0.339 0.000 0.322

Calculated values
V   85.1 Å³/cell

***

The structure with the greatest stability is one).

***

one) Below is BMo3W after structural relaxation, with properties calculated at the PBE level.

a = 4.733 Å, b = 4.733 Å, c = 4.733 Å
α = 90.00°, β = 90.00°, γ = 90.00°
Positions (direct):
1 Mo 0.000 0.500 0.000
2 Mo 0.000 0.000 0.500
3 Mo 0.500 0.000 0.000
4 B 0.500 0.500 0.500
5 W 0.000 0.000 0.000

Calculated values
V   106.0 Å³/cell

***

two) Below is BMo3W after structural relaxation, with properties calculated at the PBE level.

a = 4.195 Å, b = 4.195 Å, c = 4.195 Å
α = 90.00°, β = 90.00°, γ = 90.00°
Positions (direct):
1 Mo 0.000 0.500 0.000
2 Mo 0.000 0.000 0.500
3 Mo 0.500 0.000 0.000
4 B 0.000 0.000 0.000
5 W 0.500 0.500 0.500

Calculated values
V   73.8 Å³/cell

***

The structure with the greatest stability is two).

***

one) Below is B2Mo2W after structural relaxation, with properties calculated at the PBE level.

a = 4.671 Å, b = 4.822 Å, c = 6.348 Å
α = 112.32°, β = 90.00°, γ = 90.00°
Positions (direct):
1 B 0.750 0.426 0.216
2 B 0.250 0.210 0.784
3 B 0.250 0.574 0.784
4 B 0.750 0.790 0.216
5 Mo 0.750 0.412 0.824
6 Mo 0.750 0.783 0.567
7 Mo 0.250 0.588 0.176
8 Mo 0.250 0.217 0.433
9 W 0.000 0.000 0.000
10 W 0.500 0.000 0.000

Calculated values
V   132.2 Å³/cell

***

two) Below is B2Mo2W after structural relaxation, with properties calculated at the PBE level.

a = 6.061 Å, b = 6.061 Å, c = 3.162 Å
α = 90.00°, β = 90.00°, γ = 90.00°
Positions (direct):
1 Mo 0.171 0.671 0.500
2 Mo 0.671 0.829 0.500
3 Mo 0.829 0.329 0.500
4 Mo 0.329 0.171 0.500
5 B 0.385 0.885 0.000
6 B 0.885 0.615 0.000
7 B 0.615 0.115 0.000
8 B 0.115 0.385 0.000
9 W 0.000 0.000 0.000
10 W 0.500 0.500 0.000

Calculated values
V   116.2 Å³/cell

***

The structure with the greatest stability is two).

***

one) Below is YB6Mo2 after structural relaxation, with properties calculated at the PBE level.

a = 3.499 Å, b = 5.374 Å, c = 5.374 Å
α = 120.00°, β = 90.00°, γ = 90.00°
Positions (direct):
1 Y 0.000 0.000 0.000
2 B 0.500 0.340 0.340
3 B 0.500 0.660 0.660
4 B 0.500 0.000 0.660
5 B 0.500 0.660 0.000
6 B 0.500 0.340 0.000
7 B 0.500 0.000 0.340
8 Mo 0.000 0.333 0.667
9 Mo 0.000 0.667 0.333

Calculated values
V   87.5 Å³/cell

***

two) Below is YB6Mo2 after structural relaxation, with properties calculated at the PBE level.

a = 3.137 Å, b = 5.744 Å, c = 5.744 Å
α = 75.40°, β = 74.15°, γ = 74.15°
Positions (direct):
1 Y 0.500 0.500 0.500
2 B 0.194 0.565 0.048
3 B 0.806 0.435 0.952
4 B 0.806 0.952 0.435
5 B 0.000 0.170 0.830
6 B 0.000 0.830 0.170
7 B 0.194 0.048 0.565
8 Mo 0.346 0.154 0.154
9 Mo 0.654 0.846 0.846

Calculated values
V   94.0 Å³/cell

***

The structure with the greatest stability is two).

***

one) Below is ZnB3Mo after structural relaxation, with properties calculated at the PBE level.

a = 3.861 Å, b = 3.861 Å, c = 3.861 Å
α = 90.00°, β = 90.00°, γ = 90.00°
Each line ends with the local moment (μB).
Positions (direct):
1 Mo 0.500 0.500 0.500  1.43
2 B 0.000 0.500 0.000  0.00
3 B 0.000 0.000 0.500  0.00
4 B 0.500 0.000 0.000  -0.02
5 Zn 0.000 0.000 0.000  0.02

Calculated values
V   57.6 Å³/cell

***

two) Below is ZnB3Mo after structural relaxation, with properties calculated at the PBE level.

a = 4.154 Å, b = 4.154 Å, c = 4.154 Å
α = 90.00°, β = 90.00°, γ = 90.00°
Positions (direct):
1 Mo 0.000 0.000 0.000
2 B 0.000 0.500 0.000
3 B 0.000 0.000 0.500
4 B 0.500 0.000 0.000
5 Zn 0.500 0.500 0.500

Calculated values
V   71.7 Å³/cell

***

The structure with the greatest stability is two).

***

one) Below is ZrBMo after structural relaxation, with properties calculated at the PBE level.

a = 6.185 Å, b = 3.187 Å, c = 9.499 Å
α = 90.00°, β = 108.21°, γ = 90.00°
Positions (direct):
1 Mo 0.692 0.000 0.250
2 Mo 0.308 0.000 0.750
3 Mo 0.692 0.500 0.750
4 Mo 0.308 0.500 0.250
5 B 0.931 0.000 0.709
6 B 0.069 0.000 0.291
7 B 0.931 0.500 0.209
8 B 0.069 0.500 0.791
9 Zr 0.000 0.000 0.000
10 Zr 0.000 0.500 0.500
11 Zr 0.500 0.000 0.500
12 Zr 0.500 0.500 0.000

Calculated values
V   177.8 Å³/cell

***

two) Below is ZrBMo after structural relaxation, with properties calculated at the PBE level.

a = 3.077 Å, b = 3.077 Å, c = 4.891 Å
α = 90.00°, β = 90.00°, γ = 90.00°
Positions (direct):
1 Mo 0.500 0.500 0.500
2 B 0.000 0.000 0.500
3 Zr 0.000 0.000 0.000

Calculated values
V   46.3 Å³/cell

***

three) Below is ZrBMo after structural relaxation, with properties calculated at the PBE level.

a = 7.228 Å, b = 3.251 Å, c = 8.916 Å
α = 90.00°, β = 124.02°, γ = 90.00°
Positions (direct):
1 Mo 0.974 0.000 0.723
2 Mo 0.974 0.500 0.223
3 Mo 0.206 0.000 0.127
4 Mo 0.206 0.500 0.627
5 B 0.740 0.000 0.197
6 B 0.740 0.500 0.697
7 B 0.974 0.000 0.427
8 B 0.974 0.500 0.927
9 Zr 0.691 0.000 0.892
10 Zr 0.691 0.500 0.392
11 Zr 0.409 0.000 0.500
12 Zr 0.409 0.500 0.000

Calculated values
V   173.6 Å³/cell

***

The structure with the greatest stability is three).

***

one) Below is ZrBMo after structural relaxation, with properties calculated at the PBE level.

a = 5.229 Å, b = 3.220 Å, c = 10.460 Å
α = 90.00°, β = 91.07°, γ = 90.00°
Positions (direct):
1 Mo 0.576 0.000 0.835
2 Mo 0.576 0.500 0.335
3 Mo 0.793 0.000 0.554
4 Mo 0.793 0.500 0.054
5 B 0.566 0.000 0.189
6 B 0.566 0.500 0.689
7 B 0.971 0.000 0.931
8 B 0.971 0.500 0.431
9 Zr 0.053 0.000 0.265
10 Zr 0.053 0.500 0.765
11 Zr 0.304 0.000 0.545
12 Zr 0.304 0.500 0.045

Calculated values
V   176.1 Å³/cell

***

two) Below is ZrBMo after structural relaxation, with properties calculated at the PBE level.

a = 4.873 Å, b = 3.204 Å, c = 11.110 Å
α = 90.00°, β = 94.72°, γ = 90.00°
Positions (direct):
1 Mo 0.335 0.000 0.579
2 Mo 0.665 0.000 0.421
3 Mo 0.335 0.500 0.079
4 Mo 0.665 0.500 0.921
5 B 0.405 0.000 0.234
6 B 0.595 0.000 0.766
7 B 0.405 0.500 0.734
8 B 0.595 0.500 0.266
9 Zr 0.132 0.000 0.858
10 Zr 0.868 0.000 0.142
11 Zr 0.132 0.500 0.358
12 Zr 0.868 0.500 0.642

Calculated values
V   172.9 Å³/cell

***

The structure with the greatest stability is two).

***

one) Below is ZrBMo after structural relaxation, with properties calculated at the PBE level.

a = 3.150 Å, b = 4.808 Å, c = 5.896 Å
α = 80.43°, β = 80.04°, γ = 88.97°
Positions (direct):
1 Mo 0.638 0.095 0.601
2 Mo 0.471 0.224 0.143
3 B 0.563 0.501 0.766
4 B 0.059 0.316 0.826
5 Zr 0.978 0.782 0.964
6 Zr 0.161 0.634 0.437

Calculated values
V   86.7 Å³/cell

***

two) Below is ZrBMo after structural relaxation, with properties calculated at the PBE level.

a = 5.361 Å, b = 5.828 Å, c = 6.378 Å
α = 90.00°, β = 90.00°, γ = 117.38°
Positions (direct):
1 B 0.584 0.167 0.542
2 B 0.916 0.833 0.042
3 B 0.416 0.833 0.458
4 B 0.084 0.167 0.958
5 Mo 0.301 0.103 0.250
6 Mo 0.199 0.897 0.750
7 Mo 0.699 0.897 0.750
8 Mo 0.801 0.103 0.250
9 Zr 0.811 0.622 0.400
10 Zr 0.689 0.378 0.900
11 Zr 0.189 0.378 0.600
12 Zr 0.311 0.622 0.100

Calculated values
V   176.9 Å³/cell

***

The structure with the greatest stability is two).